Record 1
# Pm12NdSm7 (PBE, relaxed)
# energy above the most stable polymorph in this dataset: 0 meV per atom
# E: -0.1708 Ha/atom
# formation energy from the elements: 8.98 kJ per mole of atoms
data_Pm12NdSm7
_space_group_name_H-M_alt 'R -3 m'
_space_group_IT_number 166
_space_group_name_Hall '-R 3 2"'
_cell_length_a 13.5608
_cell_length_b 13.5608
_cell_length_c 12.8786
_cell_angle_alpha 90.00
_cell_angle_beta 90.00
_cell_angle_gamma 120.00
loop_
_atom_site_label
_atom_site_type_symbol
_atom_site_fract_x
_atom_site_fract_y
_atom_site_fract_z
Pm1 Pm 0.0000 0.2605 0.0000
Pm2 Pm 0.0889 0.1777 0.7669
Nd1 Nd 0.0000 0.0000 0.5000
Sm1 Sm 0.0000 0.0000 0.0000
Sm2 Sm 0.0433 0.5216 0.1154

Record 2
# Pm5NdSm (PBE, relaxed)
# energy above the most stable polymorph in this dataset: 0 meV per atom
# E: -0.1685 Ha/atom
# formation energy from the elements: 15.65 kJ per mole of atoms
data_Pm5NdSm
_space_group_name_H-M_alt 'C 1 2/c 1'
_space_group_IT_number 15
_cell_length_a 12.046
_cell_length_b 6.949
_cell_length_c 12.432
_cell_angle_alpha 90.00
_cell_angle_beta 111.19
_cell_angle_gamma 90.00
loop_
_space_group_symop_operation_xyz
'x,y,z'
'-x,-y,-z'
'-x,y,-z+1/2'
'x,-y,z+1/2'
'x+1/2,y+1/2,z'
'-x+1/2,-y+1/2,-z'
'-x+1/2,y+1/2,-z+1/2'
'x+1/2,-y+1/2,z+1/2'
loop_
_atom_site_label
_atom_site_type_symbol
_atom_site_fract_x
_atom_site_fract_y
_atom_site_fract_z
Pm1 Pm 0.000 0.088 0.250
Pm2 Pm 0.078 0.232 0.000
Pm3 Pm 0.218 0.129 0.749
Nd1 Nd 0.000 0.472 0.750
Sm1 Sm 0.250 0.250 0.500

Record 3
# PmNd8Sm2 (PBE, relaxed)
# energy above the most stable polymorph in this dataset: 138 meV per atom
# E: -0.1693 Ha/atom
# formation energy from the elements: 14.57 kJ per mole of atoms
data_PmNd8Sm2
_space_group_name_H-M_alt 'C 1 2/m 1'
_space_group_IT_number 12
_cell_length_a 19.462
_cell_length_b 7.141
_cell_length_c 5.760
_cell_angle_alpha 90.00
_cell_angle_beta 93.70
_cell_angle_gamma 90.00
loop_
_space_group_symop_operation_xyz
'x,y,z'
'-x,-y,-z'
'-x,y,-z'
'x,-y,z'
'x+1/2,y+1/2,z'
'-x+1/2,-y+1/2,-z'
'-x+1/2,y+1/2,-z'
'x+1/2,-y+1/2,z'
loop_
_atom_site_label
_atom_site_type_symbol
_atom_site_fract_x
_atom_site_fract_y
_atom_site_fract_z
Pm1 Pm 0.000 0.000 0.000
Nd1 Nd 0.045 0.500 0.237
Nd2 Nd 0.130 0.266 0.731
Nd3 Nd 0.187 0.000 0.230
Sm1 Sm 0.216 0.500 0.257

Record 4
# Pm6NdSm8 (PBE, relaxed)
# energy above the most stable polymorph in this dataset: 3 meV per atom
# E: -0.1685 Ha/atom
# formation energy from the elements: 14.37 kJ per mole of atoms
data_Pm6NdSm8
_space_group_name_H-M_alt 'R -3'
_space_group_IT_number 148
_space_group_name_Hall '-R 3'
_cell_length_a 9.3859
_cell_length_b 9.3859
_cell_length_c 20.3903
_cell_angle_alpha 90.00
_cell_angle_beta 90.00
_cell_angle_gamma 120.00
loop_
_atom_site_label
_atom_site_type_symbol
_atom_site_fract_x
_atom_site_fract_y
_atom_site_fract_z
Pm1 Pm 0.0457 0.7997 0.1920
Nd1 Nd 0.0000 0.0000 0.5000
Sm1 Sm 0.0000 0.0000 0.0714
Sm2 Sm 0.0671 0.8213 0.6617

Record 5
# Pm5NdSm6 (PBE, relaxed)
# E: -0.1736 Ha/atom
# formation energy from the elements: 1.21 kJ per mole of atoms
data_Pm5NdSm6
_space_group_name_H-M_alt 'C 1 2/m 1'
_space_group_IT_number 12
_cell_length_a 6.312
_cell_length_b 10.932
_cell_length_c 12.077
_cell_angle_alpha 90.00
_cell_angle_beta 100.06
_cell_angle_gamma 90.00
loop_
_space_group_symop_operation_xyz
'x,y,z'
'-x,-y,-z'
'-x,y,-z'
'x,-y,z'
'x+1/2,y+1/2,z'
'-x+1/2,-y+1/2,-z'
'-x+1/2,y+1/2,-z'
'x+1/2,-y+1/2,z'
loop_
_atom_site_label
_atom_site_type_symbol
_atom_site_fract_x
_atom_site_fract_y
_atom_site_fract_z
Pm1 Pm 0.000 0.000 0.000
Pm2 Pm 0.000 0.167 0.500
Pm3 Pm 0.000 0.333 0.000
Nd1 Nd 0.000 0.500 0.500
Sm1 Sm 0.250 0.000 0.750
Sm2 Sm 0.250 0.167 0.250

Record 6
# Pm3NdSm12 (PBE, relaxed)
# E: -0.1733 Ha/atom
# formation energy from the elements: 1.32 kJ per mole of atoms
data_Pm3NdSm12
_space_group_name_H-M_alt 'P 4/m m m'
_space_group_IT_number 123
_space_group_name_Hall '-P 4 2'
_cell_length_a 5.140
_cell_length_b 5.140
_cell_length_c 20.539
_cell_angle_alpha 90.00
_cell_angle_beta 90.00
_cell_angle_gamma 90.00
loop_
_atom_site_label
_atom_site_type_symbol
_atom_site_fract_x
_atom_site_fract_y
_atom_site_fract_z
Pm1 Pm 0.000 0.000 0.000
Pm2 Pm 0.000 0.000 0.250
Nd1 Nd 0.000 0.000 0.500
Sm1 Sm 0.000 0.500 0.125
Sm2 Sm 0.000 0.500 0.375
Sm3 Sm 0.500 0.500 0.000
Sm4 Sm 0.500 0.500 0.250
Sm5 Sm 0.500 0.500 0.500

Record 7
# Pm3Nd5Sm2 (PBE, relaxed)
# energy above the most stable polymorph in this dataset: 0 meV per atom
# E: -0.1682 Ha/atom
# formation energy from the elements: 16.94 kJ per mole of atoms
data_Pm3Nd5Sm2
_space_group_name_H-M_alt 'C 1 2/c 1'
_space_group_IT_number 15
_cell_length_a 10.988
_cell_length_b 15.085
_cell_length_c 10.106
_cell_angle_alpha 90.00
_cell_angle_beta 122.92
_cell_angle_gamma 90.00
loop_
_space_group_symop_operation_xyz
'x,y,z'
'-x,-y,-z'
'-x,y,-z+1/2'
'x,-y,z+1/2'
'x+1/2,y+1/2,z'
'-x+1/2,-y+1/2,-z'
'-x+1/2,y+1/2,-z+1/2'
'x+1/2,-y+1/2,z+1/2'
loop_
_atom_site_label
_atom_site_type_symbol
_atom_site_fract_x
_atom_site_fract_y
_atom_site_fract_z
Pm1 Pm 0.000 0.020 0.250
Pm2 Pm 0.157 0.375 0.554
Nd1 Nd 0.000 0.230 0.250
Nd2 Nd 0.000 0.272 0.750
Nd3 Nd 0.000 0.477 0.750
Nd4 Nd 0.241 0.375 0.232
Sm1 Sm 0.148 0.125 0.055

Record 8
# Pm2NdSm2 (PBE, relaxed)
# energy above the most stable polymorph in this dataset: 0 meV per atom
# E: -0.1707 Ha/atom
# formation energy from the elements: 9.37 kJ per mole of atoms
data_Pm2NdSm2
_space_group_name_H-M_alt 'P 4/m b m'
_space_group_IT_number 127
_space_group_name_Hall '-P 4 2ab'
_cell_length_a 9.613
_cell_length_b 9.613
_cell_length_c 3.789
_cell_angle_alpha 90.00
_cell_angle_beta 90.00
_cell_angle_gamma 90.00
loop_
_atom_site_label
_atom_site_type_symbol
_atom_site_fract_x
_atom_site_fract_y
_atom_site_fract_z
Pm1 Pm 0.172 0.328 0.000
Nd1 Nd 0.000 0.000 0.500
Sm1 Sm 0.127 0.627 0.500

Record 9
# Pm2NdSm12 (PBE, relaxed)
# E: -0.1680 Ha/atom
# formation energy from the elements: 14.86 kJ per mole of atoms
data_Pm2NdSm12
_space_group_name_H-M_alt 'C m m e'
_space_group_IT_number 67
_space_group_name_Hall '-C 2a 2'
_cell_length_a 7.164
_cell_length_b 11.561
_cell_length_c 25.047
_cell_angle_alpha 90.00
_cell_angle_beta 90.00
_cell_angle_gamma 90.00
loop_
_atom_site_label
_atom_site_type_symbol
_atom_site_fract_x
_atom_site_fract_y
_atom_site_fract_z
Pm1 Pm 0.000 0.250 0.226
Pm2 Pm 0.000 0.250 0.767
Nd1 Nd 0.000 0.250 0.499
Sm1 Sm 0.000 0.002 0.577
Sm2 Sm 0.000 0.023 0.060
Sm3 Sm 0.231 0.250 0.917
Sm4 Sm 0.248 0.250 0.371
Sm5 Sm 0.250 0.000 0.173
Sm6 Sm 0.250 0.000 0.300

Record 10
# Pm5Nd4Sm2 (PBE, relaxed)
# energy above the most stable polymorph in this dataset: 88 meV per atom
# E: -0.1665 Ha/atom
# formation energy from the elements: 21.29 kJ per mole of atoms
data_Pm5Nd4Sm2
_space_group_name_H-M_alt 'I m m m'
_space_group_IT_number 71
_space_group_name_Hall '-I 2 2'
_cell_length_a 3.561
_cell_length_b 9.424
_cell_length_c 23.487
_cell_angle_alpha 90.00
_cell_angle_beta 90.00
_cell_angle_gamma 90.00
loop_
_atom_site_label
_atom_site_type_symbol
_atom_site_fract_x
_atom_site_fract_y
_atom_site_fract_z
Pm1 Pm 0.000 0.000 0.000
Pm2 Pm 0.000 0.301 0.352
Nd1 Nd 0.000 0.202 0.500
Nd2 Nd 0.000 0.500 0.096
Sm1 Sm 0.000 0.500 0.230

Record 11
# Pm3NdSm2 (PBE, relaxed)
# energy above the most stable polymorph in this dataset: 0 meV per atom
# E: -0.1690 Ha/atom
# formation energy from the elements: 13.80 kJ per mole of atoms
data_Pm3NdSm2
_space_group_name_H-M_alt 'C 1 2/m 1'
_space_group_IT_number 12
_cell_length_a 18.289
_cell_length_b 3.495
_cell_length_c 6.658
_cell_angle_alpha 90.00
_cell_angle_beta 103.14
_cell_angle_gamma 90.00
loop_
_space_group_symop_operation_xyz
'x,y,z'
'-x,-y,-z'
'-x,y,-z'
'x,-y,z'
'x+1/2,y+1/2,z'
'-x+1/2,-y+1/2,-z'
'-x+1/2,y+1/2,-z'
'x+1/2,-y+1/2,z'
loop_
_atom_site_label
_atom_site_type_symbol
_atom_site_fract_x
_atom_site_fract_y
_atom_site_fract_z
Pm1 Pm 0.000 0.000 0.000
Pm2 Pm 0.172 0.000 0.358
Nd1 Nd 0.000 0.000 0.500
Sm1 Sm 0.163 0.500 0.854

Record 12
# Pm3NdSm3 (PBE, relaxed)
# energy above the most stable polymorph in this dataset: 183 meV per atom
# E: -0.1664 Ha/atom
# formation energy from the elements: 20.30 kJ per mole of atoms
data_Pm3NdSm3
_space_group_name_H-M_alt 'R -3'
_space_group_IT_number 148
_space_group_name_Hall '-R 3'
_cell_length_a 8.8167
_cell_length_b 8.8167
_cell_length_c 22.1998
_cell_angle_alpha 90.00
_cell_angle_beta 90.00
_cell_angle_gamma 120.00
loop_
_atom_site_label
_atom_site_type_symbol
_atom_site_fract_x
_atom_site_fract_y
_atom_site_fract_z
Pm1 Pm 0.0517 0.4486 0.3808
Nd1 Nd 0.0000 0.0000 0.1521
Sm1 Sm 0.0032 0.2351 0.5587

Record 13
# Pm2Nd7Sm3 (PBE, relaxed)
# energy above the most stable polymorph in this dataset: 15 meV per atom
# E: -0.1716 Ha/atom
# formation energy from the elements: 8.12 kJ per mole of atoms
data_Pm2Nd7Sm3
_space_group_name_H-M_alt 'P 1 2/m 1'
_space_group_IT_number 10
_cell_length_a 5.987
_cell_length_b 3.650
_cell_length_c 19.304
_cell_angle_alpha 90.00
_cell_angle_beta 93.29
_cell_angle_gamma 90.00
loop_
_space_group_symop_operation_xyz
'x,y,z'
'-x,-y,-z'
'-x,y,-z'
'x,-y,z'
loop_
_atom_site_label
_atom_site_type_symbol
_atom_site_fract_x
_atom_site_fract_y
_atom_site_fract_z
Pm1 Pm 0.206 0.000 0.296
Nd1 Nd 0.180 0.500 0.144
Nd2 Nd 0.243 0.000 0.464
Nd3 Nd 0.318 0.000 0.821
Nd4 Nd 0.500 0.500 0.000
Sm1 Sm 0.000 0.000 0.000
Sm2 Sm 0.283 0.500 0.632

Record 14
# Pm2Nd5Sm2 (PBE, relaxed)
# energy above the most stable polymorph in this dataset: 3 meV per atom
# E: -0.1696 Ha/atom
# formation energy from the elements: 13.32 kJ per mole of atoms
data_Pm2Nd5Sm2
_space_group_name_H-M_alt 'I m a 2'
_space_group_IT_number 46
_cell_length_a 14.635
_cell_length_b 11.747
_cell_length_c 7.425
_cell_angle_alpha 90.00
_cell_angle_beta 90.00
_cell_angle_gamma 90.00
loop_
_space_group_symop_operation_xyz
'x,y,z'
'-x,-y,z'
'-x+1/2,y,z'
'x+1/2,-y,z'
'x+1/2,y+1/2,z+1/2'
'-x+1/2,-y+1/2,z+1/2'
'-x,y+1/2,z+1/2'
'x,-y+1/2,z+1/2'
loop_
_atom_site_label
_atom_site_type_symbol
_atom_site_fract_x
_atom_site_fract_y
_atom_site_fract_z
Pm1 Pm 0.000 0.000 0.000
Pm2 Pm 0.250 0.014 0.749
Nd1 Nd 0.060 0.750 0.250
Nd2 Nd 0.141 0.250 0.000
Nd3 Nd 0.250 0.749 0.500
Sm1 Sm 0.000 0.000 0.500
Sm2 Sm 0.250 0.015 0.251

Record 15
# Pm5Nd3Sm3 (PBE, relaxed)
# energy above the most stable polymorph in this dataset: 8 meV per atom
# E: -0.1475 Ha/atom
# formation energy from the elements: 70.71 kJ per mole of atoms
data_Pm5Nd3Sm3
_space_group_name_H-M_alt 'P -6 2 m'
_space_group_IT_number 189
_space_group_name_Hall 'P -6 -2'
_cell_length_a 9.8312
_cell_length_b 9.8312
_cell_length_c 5.5040
_cell_angle_alpha 90.00
_cell_angle_beta 90.00
_cell_angle_gamma 120.00
loop_
_atom_site_label
_atom_site_type_symbol
_atom_site_fract_x
_atom_site_fract_y
_atom_site_fract_z
Pm1 Pm 0.0000 0.7333 0.0000
Pm2 Pm 0.3333 0.6667 0.0000
Nd1 Nd 0.0000 0.3627 0.0000
Sm1 Sm 0.0000 0.5707 0.5000

Record 16
# Pm12NdSm7 (PBE, relaxed)
# energy above the most stable polymorph in this dataset: 519 meV per atom
# E: -0.1517 Ha/atom
# formation energy from the elements: 59.06 kJ per mole of atoms
data_Pm12NdSm7
_space_group_name_H-M_alt 'I m -3 m'
_space_group_IT_number 229
_space_group_name_Hall '-I 4 2 3'
_cell_length_a 11.562
_cell_length_b 11.562
_cell_length_c 11.562
_cell_angle_alpha 90.00
_cell_angle_beta 90.00
_cell_angle_gamma 90.00
loop_
_atom_site_label
_atom_site_type_symbol
_atom_site_fract_x
_atom_site_fract_y
_atom_site_fract_z
Pm1 Pm 0.000 0.251 0.251
Nd1 Nd 0.000 0.000 0.000
Sm1 Sm 0.000 0.000 0.500
Sm2 Sm 0.250 0.250 0.250

Record 17
# Pm2Nd3Sm5 (PBE, relaxed)
# energy above the most stable polymorph in this dataset: 179 meV per atom
# E: -0.1610 Ha/atom
# formation energy from the elements: 34.60 kJ per mole of atoms
data_Pm2Nd3Sm5
_space_group_name_H-M_alt 'I b a m'
_space_group_IT_number 72
_space_group_name_Hall '-I 2 2c'
_cell_length_a 9.541
_cell_length_b 22.172
_cell_length_c 6.946
_cell_angle_alpha 90.00
_cell_angle_beta 90.00
_cell_angle_gamma 90.00
loop_
_atom_site_label
_atom_site_type_symbol
_atom_site_fract_x
_atom_site_fract_y
_atom_site_fract_z
Pm1 Pm 0.097 0.126 0.000
Nd1 Nd 0.000 0.000 0.250
Nd2 Nd 0.249 0.372 0.000
Sm1 Sm 0.000 0.250 0.250
Sm2 Sm 0.000 0.500 0.250
Sm3 Sm 0.095 0.375 0.500

Record 18
# Pm6NdSm6 (PBE, relaxed)
# E: -0.1645 Ha/atom
# formation energy from the elements: 25.16 kJ per mole of atoms
data_Pm6NdSm6
_space_group_name_H-M_alt 'P 6/m m m'
_space_group_IT_number 191
_space_group_name_Hall '-P 6 2'
_cell_length_a 6.7479
_cell_length_b 6.7479
_cell_length_c 11.6019
_cell_angle_alpha 90.00
_cell_angle_beta 90.00
_cell_angle_gamma 120.00
loop_
_atom_site_label
_atom_site_type_symbol
_atom_site_fract_x
_atom_site_fract_y
_atom_site_fract_z
Pm1 Pm 0.0000 0.0000 0.1472
Pm2 Pm 0.3333 0.6667 0.0000
Pm3 Pm 0.3333 0.6667 0.5000
Nd1 Nd 0.0000 0.0000 0.5000
Sm1 Sm 0.0000 0.5000 0.2505